Er4Ru2Au after structural relaxation, computed with PBE-GGA.

ΔH_f (0 K) in eV per atom: -0.50
E above lowest polymorph in eV/f.u.: 0.04
DFT total energy in eV for the cell shown: -87.12
Symmetry: Cc
Crystal system: monoclinic

a b c (Å): 6.702 7.526 7.787
angles (deg): 111.68 107.60 105.31
Atoms (fractional coordinates):
Er: 0.011 0.258 0.365
Er: 0.353 0.481 0.127
Er: 0.786 0.612 0.579
Er: 0.761 0.130 0.811
Er: 0.475 0.103 0.373
Er: 0.200 0.069 0.689
Er: 0.457 0.783 0.921
Er: 0.896 0.643 0.135
Ru: 0.516 0.408 0.733
Ru: 0.745 0.893 0.393
Ru: 0.602 0.249 0.106
Ru: 0.034 0.426 0.767
Au: 0.332 0.723 0.501
Au: 0.081 0.972 0.999

=====

Sc4Tl after structural relaxation, computed with PBE-GGA.

ΔH_f (0 K) in eV per atom: 0.04
E above lowest polymorph in eV/f.u.: 0.71
DFT total energy in eV for the cell shown: -55.00
Symmetry: P-42_1c
Crystal system: tetragonal

a b c (Å): 6.207 6.207 6.502
angles (deg): 90.00 90.00 90.00
Atoms (fractional coordinates):
Sc: 0.109 0.273 0.352
Sc: 0.891 0.727 0.352
Sc: 0.273 0.891 0.648
Sc: 0.727 0.109 0.648
Sc: 0.391 0.773 0.148
Sc: 0.609 0.227 0.148
Sc: 0.227 0.391 0.852
Sc: 0.773 0.609 0.852
Tl: 0.000 0.000 0.000
Tl: 0.500 0.500 0.500

=====

Hf2PbCl after structural relaxation, computed with PBE-GGA.

E above lowest polymorph in eV/f.u.: 1.64
DFT total energy in eV for the cell shown: -48.08
Symmetry: I-42d
ΔE_f (raw) in eV per atom: 0.355
Crystal system: tetragonal

a b c (Å): 5.142 5.142 8.921
angles (deg): 73.25 73.25 90.00
Atoms (fractional coordinates):
Pb: 0.000 0.000 0.000
Pb: 0.750 0.250 0.500
Hf: 0.548 0.125 0.250
Hf: 0.202 0.625 0.250
Hf: 0.375 0.452 0.750
Hf: 0.875 0.798 0.750
Cl: 0.500 0.500 0.000
Cl: 0.250 0.750 0.500

=====

LiCaFe3 after structural relaxation, computed with PBE-GGA.

ΔH_f (0 K) in eV per atom: 0.90
E above lowest polymorph in eV/f.u.: 0.00
DFT total energy in eV for the cell shown: -24.80
Symmetry: Pm-3m
Crystal system: cubic

a b c (Å): 4.339 4.339 4.339
angles (deg): 90.00 90.00 90.00
Atoms (fractional coordinates):
Ca: 0.500 0.500 0.500
Fe: 0.000 0.500 0.000
Fe: 0.000 0.000 0.500
Fe: 0.500 0.000 0.000
Li: 0.000 0.000 0.000

=====

Q: Number 1 is which compound?
A: Er4Ru2Au

=====

Q: What is the formula in the second record?
A: Sc4Tl

=====

Q: The lowest DFT total energy belongs to which entry?
A: Er4Ru2Au

=====

Q: Number 4 is which compound?
A: LiCaFe3